This record from the Alexandria database describes a geometry-optimized Cs3KI2O9 structure. The functional is GGA-PBE.

Values from the calculation:
As for the uncorrected formation energy: -0.835 eV per atom. For the mass density, the calculation gives 5.0 g/cm3. As for the total magnetization: 1.58 μB/f.u. As for the total energy: -4.26 eV/atom.

a b c (Å): 6.360 6.360 7.949
angles (deg): 90.00 90.00 120.00
Fractional positions:
Cs 0.000 0.000 0.000
Cs 0.333 0.667 0.661
Cs 0.667 0.333 0.339
K 0.000 0.000 0.500
I 0.333 0.667 0.158
I 0.667 0.333 0.842
O 0.000 0.500 0.000
O 0.191 0.383 0.283
O 0.191 0.809 0.283
O 0.383 0.191 0.717
O 0.500 0.000 0.000
O 0.500 0.500 0.000
O 0.617 0.809 0.283
O 0.809 0.191 0.717
O 0.809 0.617 0.717

***

This record from the Alexandria database describes a geometry-optimized Cs2K2IO6 structure. The functional is GGA-PBE.

Values from the calculation:
As for the uncorrected formation energy: -1.070 eV per atom. For the mass density, the calculation gives 3.8 g/cm3. As for the total magnetization: 1.10 μB/f.u. As for the total energy: -4.27 eV/atom.

a b c (Å): 6.445 6.445 7.033
angles (deg): 100.45 100.45 115.99
Fractional positions:
Cs 0.182 0.818 0.000
Cs 0.818 0.182 0.000
K 0.345 0.655 0.500
K 0.655 0.345 0.500
I 0.000 0.000 0.500
O 0.050 0.299 0.665
O 0.167 0.167 0.330
O 0.299 0.050 0.665
O 0.701 0.950 0.335
O 0.833 0.833 0.670
O 0.950 0.701 0.335

***

This record from the Alexandria database describes a geometry-optimized Cs2K3IO6 structure. The functional is GGA-PBE.

Values from the calculation:
As for the uncorrected formation energy: -1.166 eV per atom. For the mass density, the calculation gives 3.9 g/cm3. As for the total magnetization: 0.00 μB/f.u. As for the total energy: -4.19 eV/atom.

a b c (Å): 7.128 7.128 6.405
angles (deg): 101.23 101.23 120.80
Fractional positions:
Cs 0.170 0.830 0.000
Cs 0.830 0.170 0.000
K 0.000 0.000 0.500
K 0.358 0.642 0.500
K 0.642 0.358 0.500
I 0.500 0.500 0.000
O 0.215 0.436 0.800
O 0.329 0.329 0.173
O 0.436 0.215 0.800
O 0.564 0.785 0.200
O 0.671 0.671 0.827
O 0.785 0.564 0.200

***

This record from the Alexandria database describes a geometry-optimized CsK2PaI8 structure. The functional is GGA-PBE.

Values from the calculation:
As for the uncorrected formation energy: -1.179 eV per atom. For the mass density, the calculation gives 3.7 g/cm3. As for the total magnetization: 0.06 μB/f.u. As for the total energy: -3.26 eV/atom.

a b c (Å): 7.199 8.740 11.004
angles (deg): 89.97 89.95 71.23
Fractional positions:
Cs 0.000 0.000 0.000
K 0.001 0.500 0.219
K 0.999 0.500 0.781
Pa 0.000 0.000 0.500
I 0.209 0.242 0.500
I 0.266 0.810 0.310
I 0.266 0.810 0.690
I 0.304 0.284 0.000
I 0.696 0.716 0.000
I 0.734 0.190 0.310
I 0.734 0.190 0.690
I 0.791 0.758 0.500

***

This record from the Alexandria database describes a geometry-optimized Cs2KPbI6 structure. The functional is GGA-PBE.

Values from the calculation:
As for the uncorrected formation energy: -1.019 eV per atom. For the mass density, the calculation gives 3.9 g/cm3. As for the total magnetization: 0.01 μB/f.u. As for the total energy: -2.60 eV/atom.

a b c (Å): 9.138 9.138 9.138
angles (deg): 60.00 60.00 60.00
Fractional positions:
Cs 0.250 0.250 0.250
Cs 0.750 0.750 0.750
K 0.000 0.000 0.000
Pb 0.500 0.500 0.500
I 0.261 0.261 0.739
I 0.261 0.739 0.261
I 0.261 0.739 0.739
I 0.739 0.261 0.261
I 0.739 0.261 0.739
I 0.739 0.739 0.261

***

This record from the Alexandria database describes a geometry-optimized Cs3K3PbI8 structure. The functional is GGA-PBE.

Values from the calculation:
As for the uncorrected formation energy: -1.347 eV per atom. For the mass density, the calculation gives 3.5 g/cm3. As for the total magnetization: 0.00 μB/f.u. As for the total energy: -2.81 eV/atom.

a b c (Å): 10.709 10.709 10.709
angles (deg): 57.77 57.77 57.77
Fractional positions:
Cs 0.000 0.500 0.500
Cs 0.500 0.000 0.500
Cs 0.500 0.500 0.000
K 0.000 0.000 0.500
K 0.000 0.500 0.000
K 0.500 0.000 0.000
Pb 0.500 0.500 0.500
I 0.242 0.242 0.242
I 0.264 0.722 0.722
I 0.278 0.278 0.736
I 0.278 0.736 0.278
I 0.722 0.264 0.722
I 0.722 0.722 0.264
I 0.736 0.278 0.278
I 0.758 0.758 0.758

***

This record from the Alexandria database describes a geometry-optimized Cs2KPdI6 structure. The functional is GGA-PBE.

Values from the calculation:
As for the uncorrected formation energy: -0.911 eV per atom. For the mass density, the calculation gives 4.2 g/cm3. As for the total magnetization: 0.00 μB/f.u. As for the total energy: -2.64 eV/atom.

a b c (Å): 8.683 8.683 8.683
angles (deg): 119.93 119.93 90.13
Fractional positions:
Cs 0.250 0.750 0.500
Cs 0.750 0.250 0.500
K 0.000 0.000 0.000
Pd 0.500 0.500 0.000
I 0.274 0.274 0.548
I 0.274 0.726 0.000
I 0.275 0.275 0.000
I 0.725 0.725 0.000
I 0.726 0.274 0.000
I 0.726 0.726 0.452

***

This record from the Alexandria database describes a geometry-optimized Cs2KPmI6 structure. The functional is GGA-PBE.

Values from the calculation:
As for the uncorrected formation energy: -1.490 eV per atom. For the mass density, the calculation gives 3.6 g/cm3. As for the total magnetization: 0.00 μB/f.u. As for the total energy: -3.18 eV/atom.

a b c (Å): 8.860 13.000 9.741
angles (deg): 90.00 90.00 90.00
Fractional positions:
Cs 0.250 0.040 0.189
Cs 0.250 0.460 0.189
Cs 0.750 0.540 0.811
Cs 0.750 0.960 0.811
K 0.250 0.250 0.708
K 0.750 0.750 0.292
Pm 0.250 0.750 0.785
Pm 0.750 0.250 0.215
I 0.007 0.250 0.427
I 0.010 0.750 0.020
I 0.250 0.511 0.788
I 0.250 0.989 0.788
I 0.490 0.750 0.020
I 0.493 0.250 0.427
I 0.507 0.750 0.573
I 0.510 0.250 0.980
I 0.750 0.011 0.212
I 0.750 0.489 0.212
I 0.990 0.250 0.980
I 0.993 0.750 0.573

***

This record from the Alexandria database describes a geometry-optimized Cs2KPrI6 structure. The functional is GGA-PBE.

Values from the calculation:
As for the uncorrected formation energy: -1.513 eV per atom. For the mass density, the calculation gives 3.8 g/cm3. As for the total magnetization: 0.00 μB/f.u. As for the total energy: -3.20 eV/atom.

a b c (Å): 8.892 9.396 15.477
angles (deg): 90.00 124.42 90.00
Fractional positions:
Cs 0.221 0.073 0.249
Cs 0.221 0.427 0.749
Cs 0.779 0.573 0.251
Cs 0.779 0.927 0.751
K 0.000 0.000 0.500
K 0.000 0.500 0.000
Pr 0.500 0.000 0.000
Pr 0.500 0.500 0.500
I 0.166 0.187 0.953
I 0.166 0.313 0.453
I 0.265 0.720 0.947
I 0.265 0.780 0.447
I 0.364 0.027 0.764
I 0.364 0.473 0.264
I 0.636 0.527 0.736
I 0.636 0.973 0.236
I 0.735 0.220 0.553
I 0.735 0.280 0.053
I 0.834 0.687 0.547
I 0.834 0.813 0.047

***

This record from the Alexandria database describes a geometry-optimized Cs2KPrI6 structure. The functional is GGA-PBE.

Values from the calculation:
As for the uncorrected formation energy: -1.480 eV per atom. For the mass density, the calculation gives 3.6 g/cm3. As for the total magnetization: 0.00 μB/f.u. As for the total energy: -3.17 eV/atom.

a b c (Å): 9.211 9.211 9.211
angles (deg): 60.00 60.00 60.00
Fractional positions:
Cs 0.250 0.250 0.250
Cs 0.750 0.750 0.750
K 0.000 0.000 0.000
Pr 0.500 0.500 0.500
I 0.260 0.260 0.740
I 0.260 0.740 0.260
I 0.260 0.740 0.740
I 0.740 0.260 0.260
I 0.740 0.260 0.740
I 0.740 0.740 0.260